Material: Y3CuNi
Method: DFT, GGA-PBE
State: relaxed Values from VASP.

Structure (Quantum ESPRESSO input):
```
&SYSTEM
  ibrav = 0, nat = 5, ntyp = 3
/
ATOMIC_SPECIES
Cu 63.55 Cu.upf
Ni 58.69 Ni.upf
Y 88.91 Y.upf
CELL_PARAMETERS angstrom
5.188 0.000 0.000
0.000 5.188 0.000
0.000 0.000 5.188
ATOMIC_POSITIONS crystal
Cu 0.500 0.500 0.500
Ni 0.000 0.000 0.000
Y 0.500 0.000 0.000
Y 0.000 0.500 0.000
Y 0.000 0.000 0.500
```

Summary:
formation energy from the elements = 0.7 eV per formula unit
ΔE to the lowest computed polymorph = 351 meV per atom
calculated total energy = -5.72 eV/atom
volume = 139.6 Å³/cell
SG = No. 221